# ZnCo2NiH

Crystalline ZnCo2NiH at its relaxed geometry (PBE, the Alexandria database).

Cell lengths 3.517, 3.517, 3.930 Å; angles 90.00, 90.00, 90.00 degrees
Element x y z (fractional)
Zn (0.000, 0.000, 0.000)
Co (0.000, 0.500, 0.500)
Co (0.500, 0.000, 0.500)
Ni (0.500, 0.500, 0.000)
H (0.000, 0.000, 0.500)

## Properties
E_tot = -4.833 eV/atom
Total magnetization = 2.96 μB/cell



# CePr3As4

Crystalline CePr3As4 at its relaxed geometry (PBE, the Alexandria database).

Cell lengths 6.067, 6.067, 6.067 Å; angles 90.00, 90.00, 90.00 degrees
Element x y z (fractional)
Ce (0.000, 0.000, 0.000)
Pr (0.000, 0.500, 0.500)
Pr (0.500, 0.000, 0.500)
Pr (0.500, 0.500, 0.000)
As (0.000, 0.000, 0.500)
As (0.000, 0.500, 0.000)
As (0.500, 0.000, 0.000)
As (0.500, 0.500, 0.500)

## Properties
Energy relative to the elements = -1.481 eV/atom
E_tot = -6.340 eV/atom
Total magnetization = 0.80 μB/cell



# Ta2VFe

Crystalline Ta2VFe at its relaxed geometry (PBE, the Alexandria database).

Cell lengths 3.099, 3.099, 6.253 Å; angles 90.00, 90.00, 90.00 degrees
Element x y z (fractional)
Ta (0.000, 0.000, 0.245)
Ta (0.000, 0.000, 0.755)
V (0.500, 0.500, 0.500)
Fe (0.500, 0.500, 0.000)

## Properties
Energy relative to the elements = -0.120 eV/atom
E_tot = -10.442 eV/atom
Total magnetization = 0.21 μB/cell



# Sc4Co

Crystalline Sc4Co at its relaxed geometry (PBE, the Alexandria database).

Cell lengths 4.873, 4.873, 4.873 Å; angles 90.00, 90.00, 90.00 degrees
Element x y z (fractional)
Sc (0.000, 0.000, 0.000)
Sc (0.000, 0.500, 0.500)
Sc (0.500, 0.000, 0.500)
Sc (0.500, 0.500, 0.000)
Co (0.500, 0.500, 0.500)

## Properties
Energy relative to the elements = -0.020 eV/atom
E_tot = -6.507 eV/atom
Total magnetization = 0.00 μB/cell